No. 1
Entry from Alexandria: crystalline Na2Cu2AgAu5 at its relaxed geometry (PBE).

Output
Calculated formation energy in meV per atom: -144

Lattice parameters (Å, degrees): 4.0023 9.6206 9.6206 90.00 90.00 90.00
Closest atoms and distances in Å follow each position.
Element x y z (fractional)
Na1 0.0000 0.1746 0.3254  3 Cu 2.74-2.91
Na2 0.0000 0.3254 0.8254  3 Cu 2.74-2.91
Na3 0.0000 0.8254 0.6746  3 Cu 2.74-2.91
Na4 0.0000 0.6746 0.1746  3 Cu 2.74-2.91
Au1 0.5000 0.5685 0.7053  2 Cu 2.64, 2 Ag 2.89, 3 Au 2.91-2.95
Au2 0.5000 0.9315 0.2053  2 Cu 2.64, 2 Ag 2.89, 3 Au 2.91-2.95
Au3 0.5000 0.2053 0.0685  2 Cu 2.64, 2 Ag 2.89, 3 Au 2.91-2.95
Au4 0.5000 0.0000 0.5000  4 Cu 2.62, 4 Au 2.91
Au5 0.5000 0.0685 0.7947  2 Cu 2.64, 2 Ag 2.89, 3 Au 2.91-2.95
Au6 0.5000 0.5000 0.0000  4 Cu 2.62, 4 Au 2.91
Au7 0.5000 0.4315 0.2947  2 Cu 2.64, 2 Ag 2.89, 3 Au 2.91-2.95
Au8 0.5000 0.7053 0.4315  2 Cu 2.64, 2 Ag 2.89, 3 Au 2.91-2.95
Au9 0.5000 0.2947 0.5685  2 Cu 2.64, 2 Ag 2.89, 3 Au 2.91-2.95
Au10 0.5000 0.7947 0.9315  2 Cu 2.64, 2 Ag 2.89, 3 Au 2.91-2.95
Cu1 0.0000 0.3761 0.1239  6 Au 2.62-2.64, 3 Na 2.74-2.91
Cu2 0.0000 0.6239 0.8761  6 Au 2.62-2.64, 3 Na 2.74-2.91
Cu3 0.0000 0.1239 0.6239  6 Au 2.62-2.64, 3 Na 2.74-2.91
Cu4 0.0000 0.8761 0.3761  6 Au 2.62-2.64, 3 Na 2.74-2.91
Ag1 0.0000 0.0000 0.0000  8 Au 2.89
Ag2 0.0000 0.5000 0.5000  8 Au 2.89

***

No. 2
Entry from Alexandria: crystalline NdSbSe at its relaxed geometry (PBE).

Output
Energy relative to the elements, uncorrected in eV per atom: -1.373

Lattice parameters (Å, degrees): 4.2217 4.2217 9.7036 102.56 102.56 90.00
Closest atoms and distances in Å follow each position.
Element x y z (fractional)
Sb1 0.0000 0.5000 0.0000  4 Sb 2.99
Sb2 0.5000 0.0000 0.0000  4 Sb 2.99
Nd1 0.6489 0.6489 0.2977  5 Se 3.04-3.07
Nd2 0.3511 0.3511 0.7023  5 Se 3.04-3.07
Se1 0.8133 0.8133 0.6265  5 Nd 3.04-3.07
Se2 0.1867 0.1867 0.3735  5 Nd 3.04-3.07

***

No. 3
Entry from Alexandria: crystalline CaPr8Y6 at its relaxed geometry (PBE).

Output
Calculated formation energy in meV per atom: 158

Lattice parameters (Å, degrees): 8.3773 8.3773 8.3773 72.27 72.27 72.27
Closest atoms and distances in Å follow each position.
Element x y z (fractional)
Pr1 0.2373 0.2373 0.2373  6 Pr 3.41-3.65
Pr2 0.8611 0.3821 0.0510  1 Ca 3.17, 2 Pr 3.26-3.41, 4 Y 3.46-3.54
Pr3 0.6179 0.9490 0.1389  1 Ca 3.17, 2 Pr 3.26-3.41, 4 Y 3.46-3.54
Pr4 0.1389 0.6179 0.9490  1 Ca 3.17, 2 Pr 3.26-3.41, 4 Y 3.46-3.54
Pr5 0.0510 0.8611 0.3821  1 Ca 3.17, 2 Pr 3.26-3.41, 4 Y 3.46-3.54
Pr6 0.9490 0.1389 0.6179  1 Ca 3.17, 2 Pr 3.26-3.41, 4 Y 3.46-3.54
Pr7 0.3821 0.0510 0.8611  1 Ca 3.17, 2 Pr 3.26-3.41, 4 Y 3.46-3.54
Pr8 0.7627 0.7627 0.7627  6 Pr 3.41-3.65
Y1 0.3818 0.8242 0.5666  7 Pr 3.46-3.85, 3 Y 3.75-3.80
Y2 0.5666 0.3818 0.8242  7 Pr 3.46-3.85, 3 Y 3.75-3.80
Y3 0.4334 0.6182 0.1758  7 Pr 3.46-3.85, 3 Y 3.75-3.80
Y4 0.1758 0.4334 0.6182  7 Pr 3.46-3.85, 3 Y 3.75-3.80
Y5 0.6182 0.1758 0.4334  7 Pr 3.46-3.85, 3 Y 3.75-3.80
Y6 0.8242 0.5666 0.3818  7 Pr 3.46-3.85, 3 Y 3.75-3.80
Ca1 0.0000 0.0000 0.0000  6 Pr 3.17

***

No. 4
Entry from Alexandria: crystalline BaGaO3 at its relaxed geometry (PBE).

Output
Energy relative to the elements, uncorrected in eV per atom: -0.189

Lattice parameters (Å, degrees): 4.5334 4.5334 4.5334 90.00 90.00 90.00
Closest atoms and distances in Å follow each position.
Element x y z (fractional)
O1 0.0000 0.0000 0.5000  2 Ba 2.27
O2 0.5000 0.0000 0.0000  2 Ba 2.27
O3 0.0000 0.5000 0.0000  2 Ba 2.27
Ba1 0.0000 0.0000 0.0000  6 O 2.27
Ga1 0.5000 0.5000 0.5000  12 O 3.21

***

No. 5
Entry from Alexandria: crystalline LiZn2OsW at its relaxed geometry (PBE).

Output
Calculated formation energy in meV per atom: 2269

Lattice parameters (Å, degrees): 4.7209 4.4029 4.7209 90.00 90.00 90.00
Closest atoms and distances in Å follow each position.
Element x y z (fractional)
Zn1 0.5000 0.0000 0.0000  2 W 2.36
Zn2 0.0000 0.0000 0.5000  2 W 2.36
W1 0.0000 0.0000 0.0000  2 Li 2.20, 4 Zn 2.36
Li1 0.0000 0.5000 0.0000  2 W 2.20
Os1 0.5000 0.5000 0.5000  8 Zn 3.23, 4 Li 3.34

***

No. 6
Entry from Alexandria: crystalline ZrMnBe2 at its relaxed geometry (PBE).

Output
Calculated formation energy in meV per atom: 429
Offset from the most stable computed form in eV/atom: 0.475

Lattice parameters (Å, degrees): 8.5849 8.5849 8.5849 18.03 18.03 18.03
Closest atoms and distances in Å follow each position.
Element x y z (fractional)
Be1 0.9874 0.9874 0.9874  3 Mn 2.37
Be2 0.5126 0.5126 0.5126  3 Mn 2.37
Zr1 0.7500 0.7500 0.7500  6 Zr 2.69, 6 Be 2.88
Mn1 0.2500 0.2500 0.2500  6 Be 2.37

***

No. 7
Entry from Alexandria: crystalline AcInTe2 at its relaxed geometry (PBE).

Output
Energy relative to the elements, uncorrected in eV per atom: -0.940
Offset from the most stable computed form in eV/atom: 0.112

Lattice parameters (Å, degrees): 4.1293 4.1293 8.0139 90.00 90.00 90.00
Closest atoms and distances in Å follow each position.
Element x y z (fractional)
Ac1 0.5000 0.5000 0.5000  8 Te 3.48
Te1 0.0000 0.0000 0.2636  4 Ac 3.48, 4 In 3.60, 1 Te 3.79
Te2 0.0000 0.0000 0.7364  4 Ac 3.48, 4 In 3.60, 1 Te 3.79
In1 0.5000 0.5000 0.0000  8 Te 3.60, 2 Ac 4.01

***

No. 8
Entry from Alexandria: crystalline AcLa3Pm7 at its relaxed geometry (PBE).

Output
Calculated formation energy in meV per atom: 176
Offset from the most stable computed form in eV/atom: 0.000

Lattice parameters (Å, degrees): 8.9785 7.3190 7.3190 120.00 90.00 90.00
Closest atoms and distances in Å follow each position.
Element x y z (fractional)
La1 0.7861 0.9981 0.4991  4 La 3.64-3.68, 5 Pm 3.64-3.70, 1 Ac 3.74
La2 0.7861 0.5009 0.0019  4 La 3.64-3.68, 5 Pm 3.64-3.70, 1 Ac 3.74
La3 0.7861 0.5009 0.4991  4 La 3.64-3.68, 5 Pm 3.64-3.70, 1 Ac 3.74
Pm1 0.4468 0.8328 0.1672  7 Pm 3.58-3.67, 2 Ac 3.66, 2 La 3.70
Pm2 0.1159 0.1661 0.8339  1 Ac 3.63, 2 La 3.64, 8 Pm 3.65-3.67
Pm3 0.1247 0.6667 0.3333  9 Pm 3.58-3.66, 3 La 3.70
Pm4 0.1159 0.1661 0.3322  1 Ac 3.63, 2 La 3.64, 8 Pm 3.65-3.67
Pm5 0.1159 0.6678 0.8339  1 Ac 3.63, 2 La 3.64, 8 Pm 3.65-3.67
Pm6 0.4468 0.8328 0.6656  7 Pm 3.58-3.67, 2 Ac 3.66, 2 La 3.70
Pm7 0.4468 0.3344 0.1672  7 Pm 3.58-3.67, 2 Ac 3.66, 2 La 3.70
Ac1 0.4437 0.3333 0.6667  9 Pm 3.63-3.66, 3 La 3.74

***

No. 9
Entry from Alexandria: crystalline Zr2NbC at its relaxed geometry (PBE).

Output
Calculated formation energy in meV per atom: 95

Lattice parameters (Å, degrees): 8.2768 8.2768 6.2470 48.51 48.51 90.00
Closest atoms and distances in Å follow each position.
Element x y z (fractional)
C1 0.2500 0.7500 0.5000  2 Nb 2.18, 4 Zr 2.35
C2 0.5000 0.5000 0.0000  2 Nb 2.18, 4 Zr 2.35
Nb1 0.0000 0.0000 0.0000  2 C 2.18
Nb2 0.7500 0.2500 0.5000  2 C 2.18
Zr1 0.3750 0.5091 0.7500  2 C 2.35
Zr2 0.4909 0.1250 0.2500  2 C 2.35
Zr3 0.8750 0.7409 0.7500  2 C 2.35
Zr4 0.2591 0.6250 0.2500  2 C 2.35

***

No. 10
Entry from Alexandria: crystalline KMgIn at its relaxed geometry (PBE).

Output
Calculated formation energy in meV per atom: -36
Offset from the most stable computed form in eV/atom: 0.026

Lattice parameters (Å, degrees): 4.5779 5.4783 9.1259 77.68 89.72 67.00
Closest atoms and distances in Å follow each position.
Element x y z (fractional)
Mg1 0.6318 0.2375 0.4387  3 Mg 3.10-3.37, 5 In 3.11-3.27
Mg2 0.3682 0.7625 0.5613  3 Mg 3.10-3.37, 5 In 3.11-3.27
K1 0.8164 0.8395 0.8704  3 In 3.52-3.62, 2 Mg 3.69-3.76, 2 K 3.69-3.85
K2 0.1836 0.1605 0.1296  3 In 3.52-3.62, 2 Mg 3.69-3.76, 2 K 3.69-3.85
In1 0.9042 0.6892 0.3386  5 Mg 3.11-3.27, 1 In 3.12
In2 0.0958 0.3108 0.6614  5 Mg 3.11-3.27, 1 In 3.12

***

No. 11
Entry from Alexandria: crystalline ErGe2Pd4 at its relaxed geometry (PBE).

Output
Calculated formation energy in meV per atom: -709
Offset from the most stable computed form in eV/atom: 0.000

Lattice parameters (Å, degrees): 3.8448 7.9374 7.9374 90.00 90.00 90.00
Closest atoms and distances in Å follow each position.
Element x y z (fractional)
Pd1 0.5000 0.5760 0.1756  3 Ge 2.51-2.53, 1 Pd 2.79
Pd2 0.0000 0.6756 0.9240  3 Ge 2.51-2.53, 1 Pd 2.79
Pd3 0.0000 0.3244 0.0760  3 Ge 2.51-2.53, 1 Pd 2.79
Pd4 0.0000 0.9240 0.6756  3 Ge 2.51-2.53, 1 Pd 2.79
Pd5 0.5000 0.1756 0.5760  3 Ge 2.51-2.53, 1 Pd 2.79
Pd6 0.5000 0.4240 0.8244  3 Ge 2.51-2.53, 1 Pd 2.79
Pd7 0.0000 0.0760 0.3244  3 Ge 2.51-2.53, 1 Pd 2.79
Pd8 0.5000 0.8244 0.4240  3 Ge 2.51-2.53, 1 Pd 2.79
Er1 0.0000 0.5000 0.5000  6 Ge 3.11-3.16, 8 Pd 3.27
Er2 0.5000 0.0000 0.0000  6 Ge 3.11-3.16, 8 Pd 3.27
Ge1 0.5000 0.2769 0.2769  6 Pd 2.51-2.53
Ge2 0.5000 0.7231 0.7231  6 Pd 2.51-2.53
Ge3 0.0000 0.2231 0.7769  6 Pd 2.51-2.53
Ge4 0.0000 0.7769 0.2231  6 Pd 2.51-2.53

***

No. 12
Entry from Alexandria: crystalline Pr2ZnSb3Rh4 at its relaxed geometry (PBE).

Output
Energy relative to the elements, uncorrected in eV per atom: -0.793

Lattice parameters (Å, degrees): 4.4310 4.4310 10.6767 90.00 90.00 90.00
Closest atoms and distances in Å follow each position.
Element x y z (fractional)
Sb1 0.5000 0.0000 0.8643  5 Rh 2.56-2.65
Sb2 0.0000 0.5000 0.1357  5 Rh 2.56-2.65
Sb3 0.0000 0.0000 0.5000  4 Rh 2.59
Rh1 0.0000 0.5000 0.3751  3 Sb 2.56-2.59, 2 Zn 2.59
Rh2 0.5000 0.0000 0.6249  3 Sb 2.56-2.59, 2 Zn 2.59
Rh3 0.5000 0.5000 0.0000  4 Sb 2.65
Rh4 0.0000 0.0000 0.0000  4 Sb 2.65
Pr1 0.0000 0.5000 0.7443  8 Rh 3.38-3.52, 6 Sb 3.39-3.42, 2 Zn 3.42
Pr2 0.5000 0.0000 0.2557  8 Rh 3.38-3.52, 6 Sb 3.39-3.42, 2 Zn 3.42
Zn1 0.5000 0.5000 0.5000  4 Rh 2.59

***

No. 13
Entry from Alexandria: crystalline Ho2Ni3Ge5 at its relaxed geometry (PBE).

Output
Calculated formation energy in meV per atom: -565
Offset from the most stable computed form in eV/atom: 0.059

Lattice parameters (Å, degrees): 4.1160 6.7215 12.1917 90.00 99.72 90.00
Closest atoms and distances in Å follow each position.
Element x y z (fractional)
Ge1 0.4046 0.3778 0.8092  3 Ni 2.36-2.46
Ge2 0.5954 0.8778 0.1908  3 Ni 2.36-2.46
Ge3 0.2966 0.9378 0.5933  4 Ni 2.39-2.63
Ge4 0.8802 0.7564 0.7603  4 Ni 2.46-2.71, 1 Ge 2.74
Ge5 0.7034 0.4378 0.4067  4 Ni 2.39-2.63
Ge6 0.7139 0.0261 0.4278  3 Ni 2.45-2.57
Ge7 0.2861 0.5261 0.5722  3 Ni 2.45-2.57
Ge8 0.1198 0.2564 0.2397  4 Ni 2.46-2.71, 1 Ge 2.74
Ge9 0.9507 0.0768 0.9015  4 Ni 2.51-2.59, 1 Ge 2.74
Ge10 0.0493 0.5768 0.0985  4 Ni 2.51-2.59, 1 Ge 2.74
Ni1 0.2216 0.2219 0.4433  7 Ge 2.45-2.63
Ni2 0.0533 0.9606 0.1066  5 Ge 2.36-2.59
Ni3 0.7784 0.7219 0.5567  7 Ge 2.45-2.63
Ni4 0.3936 0.0141 0.7872  4 Ge 2.39-2.51
Ni5 0.6064 0.5141 0.2128  4 Ge 2.39-2.51
Ni6 0.9467 0.4606 0.8934  5 Ge 2.36-2.59
Ho1 0.5234 0.2427 0.0468  3 Ni 2.70-2.89, 4 Ge 2.92-3.00
Ho2 0.8265 0.2506 0.6530  9 Ge 2.91-3.22, 5 Ni 3.06-3.26
Ho3 0.4766 0.7427 0.9532  3 Ni 2.70-2.89, 4 Ge 2.92-3.00
Ho4 0.1735 0.7506 0.3470  9 Ge 2.91-3.22, 5 Ni 3.06-3.26

***

No. 14
Entry from Alexandria: crystalline Li3Ta at its relaxed geometry (PBE).

Output
Calculated formation energy in meV per atom: 833
Offset from the most stable computed form in eV/atom: 0.624

Lattice parameters (Å, degrees): 5.4471 5.4471 5.4471 139.48 139.48 58.65
Closest atoms and distances in Å follow each position.
Element x y z (fractional)
Li1 0.5000 0.5000 0.0000  4 Ta 2.67
Li2 0.2500 0.7500 0.5000  4 Li 2.67
Li3 0.7500 0.2500 0.5000  4 Li 2.67
Ta1 0.0000 0.0000 0.0000  4 Li 2.67

***

No. 15
Entry from Alexandria: crystalline Ac2Pr2In at its relaxed geometry (PBE).

Output
Calculated formation energy in meV per atom: -159
Offset from the most stable computed form in eV/atom: 0.000

Lattice parameters (Å, degrees): 4.0920 6.9588 7.1827 82.46 73.45 72.90
Closest atoms and distances in Å follow each position.
Element x y z (fractional)
Pr1 0.2430 0.3458 0.1683  2 In 3.33, 2 Pr 3.64
Pr2 0.7570 0.6542 0.8317  2 In 3.33, 2 Pr 3.64
Ac1 0.4167 0.7904 0.3763  2 In 3.53, 6 Pr 3.81-3.93, 2 Ac 3.92
Ac2 0.5833 0.2096 0.6237  2 In 3.53, 6 Pr 3.81-3.93, 2 Ac 3.92
In1 0.0000 0.0000 0.0000  4 Pr 3.33, 4 Ac 3.53

***

No. 16
Entry from Alexandria: crystalline MnFePt2 at its relaxed geometry (PBE).

Output
Calculated formation energy in meV per atom: -112

Lattice parameters (Å, degrees): 8.9472 8.9472 8.9472 17.78 17.78 17.78
Closest atoms and distances in Å follow each position.
Element x y z (fractional)
Pt1 0.0047 0.0047 0.0047  3 Mn 2.68, 9 Pt 2.76-2.95
Pt2 0.2443 0.2443 0.2443  3 Fe 2.64, 9 Pt 2.76-2.95
Mn1 0.7530 0.7530 0.7530  3 Fe 2.61, 3 Pt 2.68, 6 Mn 2.76
Fe1 0.4980 0.4980 0.4980  3 Mn 2.61, 3 Pt 2.64, 6 Fe 2.76

***

No. 17
Entry from Alexandria: crystalline RbNaCa2Ag at its relaxed geometry (PBE).

Output
Calculated formation energy in meV per atom: 89
Offset from the most stable computed form in eV/atom: 0.052

Lattice parameters (Å, degrees): 5.9346 5.9346 6.6858 90.00 90.00 90.00
Closest atoms and distances in Å follow each position.
Element x y z (fractional)
Rb1 0.0000 0.0000 0.5000  2 Ag 3.34
Ag1 0.0000 0.0000 0.0000  4 Ca 2.97
Ca1 0.5000 0.0000 0.0000  2 Ag 2.97
Ca2 0.0000 0.5000 0.0000  2 Ag 2.97
Na1 0.5000 0.5000 0.5000  4 Rb 4.20, 8 Ca 4.47

***

No. 18
Entry from Alexandria: crystalline CaHo3Ir8 at its relaxed geometry (PBE).

Output
Calculated formation energy in meV per atom: -736

Lattice parameters (Å, degrees): 5.3522 5.3522 9.2741 73.23 73.23 60.00
Closest atoms and distances in Å follow each position.
Element x y z (fractional)
Ir1 0.4376 0.4376 0.1855  6 Ir 2.66-2.69
Ir2 0.9374 0.4358 0.6894  6 Ir 2.67-2.69
Ir3 0.9374 0.9374 0.6894  6 Ir 2.67-2.69
Ir4 0.9393 0.4376 0.1855  6 Ir 2.66-2.69
Ir5 0.6875 0.6875 0.9376  6 Ir 2.66-2.67
Ir6 0.1876 0.1876 0.4373  6 Ir 2.69
Ir7 0.4358 0.9374 0.6894  6 Ir 2.67-2.69
Ir8 0.4376 0.9393 0.1855  6 Ir 2.66-2.69
Ho1 0.3754 0.3754 0.8738  12 Ir 3.12-3.14, 4 Ho 3.30-3.31
Ho2 0.9984 0.9984 0.0049  12 Ir 3.11-3.16, 1 Ca 3.25, 3 Ho 3.30
Ho3 0.5016 0.5016 0.4953  12 Ir 3.12-3.17, 3 Ca 3.26, 1 Ho 3.31
Ca1 0.8746 0.8746 0.3763  12 Ir 3.14-3.15, 4 Ho 3.25-3.26

***

No. 19
Entry from Alexandria: crystalline BAuCl3 at its relaxed geometry (PBE).

Output
Energy relative to the elements, uncorrected in eV per atom: 0.784
Offset from the most stable computed form in eV/atom: 0.299

Lattice parameters (Å, degrees): 5.0342 5.0342 5.0342 90.00 90.00 90.00
Closest atoms and distances in Å follow each position.
Element x y z (fractional)
Cl1 0.5000 0.0000 0.0000  2 Au 2.52
Cl2 0.0000 0.5000 0.0000  2 Au 2.52
Cl3 0.0000 0.0000 0.5000  2 Au 2.52
B1 0.5000 0.5000 0.5000  12 Cl 3.56
Au1 0.0000 0.0000 0.0000  6 Cl 2.52

***

No. 20
Entry from Alexandria: crystalline MgNbAlIr at its relaxed geometry (PBE).

Output
Calculated formation energy in meV per atom: -321

Lattice parameters (Å, degrees): 4.4957 4.4957 4.4957 60.00 60.00 60.00
Closest atoms and distances in Å follow each position.
Element x y z (fractional)
Mg1 0.5000 0.5000 0.5000  4 Nb 2.75, 4 Al 2.75
Nb1 0.7500 0.7500 0.7500  4 Mg 2.75, 4 Ir 2.75
Al1 0.2500 0.2500 0.2500  4 Mg 2.75, 4 Ir 2.75
Ir1 0.0000 0.0000 0.0000  4 Nb 2.75, 4 Al 2.75

***

Number 1: M_tot 0.00 μB/cell. Number 2: M_tot 0.00 μB/cell. Number 3: M_tot 0.00 μB/cell. Number 4: M_tot 0.00 μB/cell. Number 5: M_tot 1.46 μB/cell. Number 6: M_tot 1.15 μB/cell. Number 7: M_tot 0.00 μB/cell. Number 8: M_tot 0.00 μB/cell. Number 9: M_tot 0.00 μB/cell. Number 10: M_tot 0.00 μB/cell. Number 11: M_tot 0.00 μB/cell. Number 12: M_tot 0.00 μB/cell. Number 13: M_tot 0.00 μB/cell. Number 14: M_tot 2.06 μB/cell. Number 15: M_tot 0.00 μB/cell. Number 16: M_tot 7.09 μB/cell. Number 17: M_tot 0.00 μB/cell. Number 18: M_tot 0.00 μB/cell. Number 19: M_tot 0.00 μB/cell. Number 20: M_tot 0.82 μB/cell.